No. 1
This record from the Alexandria database describes crystalline MgTiZnGa at its relaxed geometry. The functional is GGA-PBE.

Cell lengths 4.550, 4.550, 4.550 Å; angles 60.00, 60.00, 60.00 degrees
Fractional coordinates of all 4 atoms:
Mg  0.500  0.500  0.500
Ti  0.000  0.000  0.000
Ga  0.250  0.250  0.250
Zn  0.750  0.750  0.750

Values from the calculation:
As for the total energy: -3.568 eV per atom. As for the crystal system: cubic. The density of states at the Fermi level comes out at 2.6 states/eV/f.u. Its symmetry is No. 216. Its energy relative to the elements is -0.12 eV/atom. The value obtained for the relative energy among the computed polymorphs is 139 meV/atom.



No. 2
This record from the Alexandria database describes crystalline HfTlBi2Os at its relaxed geometry. The functional is GGA-PBE.

Cell lengths 5.551, 5.637, 5.551 Å; angles 90.00, 90.00, 90.00 degrees
Fractional coordinates of all 5 atoms:
Tl  0.000  0.500  0.000
Bi  0.000  0.000  0.500
Bi  0.500  0.000  0.000
Os  0.500  0.500  0.500
Hf  0.000  0.000  0.000

Values from the calculation:
As for the total energy: -4.699 eV per atom. As for the crystal system: tetragonal. The density of states at the Fermi level comes out at 4.6 states/eV/f.u. Its symmetry is No. 123. Its energy relative to the elements is 1.56 eV/atom.



No. 3
This record from the Alexandria database describes crystalline Ho2GaGe3Rh4 at its relaxed geometry. The functional is GGA-PBE.

Cell lengths 4.180, 4.180, 10.186 Å; angles 90.00, 90.00, 90.00 degrees
Fractional coordinates of all 10 atoms:
Ge  0.000  0.500  0.131
Ho  0.500  0.000  0.251
Rh  0.500  0.000  0.633
Ga  0.500  0.500  0.500
Ho  0.000  0.500  0.749
Ge  0.000  0.000  0.500
Rh  0.000  0.500  0.367
Rh  0.000  0.000  0.000
Rh  0.500  0.500  0.000
Ge  0.500  0.000  0.869

Values from the calculation:
As for the total energy: -6.396 eV per atom. As for the crystal system: tetragonal. The density of states at the Fermi level comes out at 7.2 states/eV/f.u. Its symmetry is No. 115. Its energy relative to the elements is -0.85 eV/atom.



No. 4
This record from the Alexandria database describes crystalline HoSc5Al6 at its relaxed geometry. The functional is GGA-PBE.

Cell lengths 4.845, 6.763, 8.358 Å; angles 113.87, 106.43, 90.00 degrees
Fractional coordinates of all 12 atoms:
Al  0.500  0.733  0.000
Al  0.830  0.571  0.659
Al  0.500  0.267  0.000
Sc  0.662  0.163  0.326
Al  0.170  0.912  0.341
Ho  0.000  0.000  0.000
Sc  0.668  0.669  0.338
Sc  0.000  0.500  0.000
Al  0.830  0.088  0.659
Sc  0.338  0.837  0.674
Sc  0.332  0.331  0.662
Al  0.170  0.429  0.341

Values from the calculation:
As for the total energy: -5.324 eV per atom. As for the crystal system: monoclinic. The density of states at the Fermi level comes out at 4.5 states/eV/f.u. Its symmetry is No. 12. Its energy relative to the elements is -0.43 eV/atom.



No. 5
This record from the Alexandria database describes crystalline MgTa2P at its relaxed geometry. The functional is GGA-PBE.

Cell lengths 2.983, 2.983, 8.195 Å; angles 90.00, 90.00, 106.36 degrees
Fractional coordinates of all 4 atoms:
Mg  0.500  0.500  0.250
Ta  0.000  0.000  0.956
P  0.500  0.500  0.750
Ta  0.000  0.000  0.544

Values from the calculation:
As for the total energy: -7.748 eV per atom. As for the crystal system: orthorhombic. The density of states at the Fermi level comes out at 2.1 states/eV/f.u. Its symmetry is No. 65. Its energy relative to the elements is -0.07 eV/atom. The value obtained for the relative energy among the computed polymorphs is 28 meV/atom.



No. 6
This record from the Alexandria database describes crystalline MgTl3Si at its relaxed geometry. The functional is GGA-PBE.

Cell lengths 5.446, 5.446, 5.446 Å; angles 90.00, 90.00, 90.00 degrees
Fractional coordinates of all 5 atoms:
Tl  0.000  0.000  0.500
Tl  0.500  0.000  0.000
Tl  0.000  0.500  0.000
Si  0.000  0.000  0.000
Mg  0.500  0.500  0.500

Values from the calculation:
As for the total energy: -2.397 eV per atom. As for the crystal system: cubic. The density of states at the Fermi level comes out at 4.1 states/eV/f.u. Its symmetry is No. 221. The value obtained for the relative energy among the computed polymorphs is 0 meV/atom.



No. 7
This record from the Alexandria database describes crystalline CsMn4Tl3Br12 at its relaxed geometry. The functional is GGA-PBE.

Cell lengths 10.208, 10.208, 10.208 Å; angles 104.86, 104.86, 104.86 degrees
Fractional coordinates of all 20 atoms:
Mn  0.500  0.951  0.049
Br  0.958  0.194  0.346
Br  0.649  0.500  0.351
Cs  0.000  0.000  0.000
Br  0.351  0.649  0.500
Tl  0.455  0.000  0.545
Br  0.194  0.346  0.958
Br  0.654  0.806  0.042
Mn  0.500  0.500  0.500
Br  0.806  0.042  0.654
Mn  0.049  0.500  0.951
Br  0.500  0.351  0.649
Tl  0.545  0.455  0.000
Br  0.500  0.101  0.899
Br  0.042  0.654  0.806
Br  0.101  0.899  0.500
Br  0.899  0.500  0.101
Tl  0.000  0.545  0.455
Br  0.346  0.958  0.194
Mn  0.951  0.049  0.500

Values from the calculation:
As for the total energy: -4.067 eV per atom. As for the crystal system: trigonal. The density of states at the Fermi level comes out at 0.0 states/eV/f.u. Its symmetry is No. 155.



No. 8
This record from the Alexandria database describes crystalline Er5Tm4 at its relaxed geometry. The functional is GGA-PBE.

Cell lengths 6.889, 9.545, 9.545 Å; angles 120.00, 90.00, 90.00 degrees
Fractional coordinates of all 18 atoms:
Er  0.000  0.333  0.667
Tm  0.750  0.641  0.000
Er  0.500  0.333  0.667
Er  0.750  0.000  0.306
Tm  0.250  0.641  0.641
Tm  0.750  0.359  0.359
Er  0.000  0.667  0.333
Er  0.750  0.306  0.000
Er  0.250  0.694  0.000
Er  0.500  0.667  0.333
Tm  0.000  0.000  0.000
Tm  0.750  0.000  0.641
Er  0.250  0.306  0.306
Tm  0.250  0.359  0.000
Er  0.250  0.000  0.694
Tm  0.500  0.000  0.000
Tm  0.250  0.000  0.359
Er  0.750  0.694  0.694

Values from the calculation:
As for the total energy: -4.460 eV per atom. As for the crystal system: hexagonal. The density of states at the Fermi level comes out at 12.1 states/eV/f.u. Its symmetry is No. 193. Its energy relative to the elements is 0.06 eV/atom. The value obtained for the relative energy among the computed polymorphs is 16 meV/atom.



No. 9
This record from the Alexandria database describes crystalline Pm2Nd3Sm6 at its relaxed geometry. The functional is GGA-PBE.

Cell lengths 4.843, 4.843, 17.218 Å; angles 98.09, 98.09, 90.00 degrees
Fractional coordinates of all 11 atoms:
Sm  0.696  0.696  0.392
Sm  0.380  0.880  0.760
Sm  0.880  0.380  0.760
Nd  0.798  0.798  0.596
Sm  0.620  0.120  0.240
Sm  0.120  0.620  0.240
Sm  0.304  0.304  0.608
Nd  0.202  0.202  0.404
Pm  0.454  0.454  0.909
Nd  0.000  0.000  0.000
Pm  0.546  0.546  0.091

Values from the calculation:
As for the total energy: -4.481 eV per atom. As for the crystal system: tetragonal. The density of states at the Fermi level comes out at 15.3 states/eV/f.u. Its symmetry is No. 139. Its energy relative to the elements is 0.26 eV/atom. The value obtained for the relative energy among the computed polymorphs is 105 meV/atom.



No. 10
This record from the Alexandria database describes crystalline ReP2SeCl at its relaxed geometry. The functional is GGA-PBE.

Cell lengths 4.867, 4.867, 4.583 Å; angles 90.00, 90.00, 90.00 degrees
Fractional coordinates of all 5 atoms:
Re  0.500  0.500  0.500
Se  0.000  0.000  0.000
Cl  0.000  0.000  0.500
P  0.000  0.500  0.000
P  0.500  0.000  0.000

Values from the calculation:
As for the total energy: -4.038 eV per atom. As for the crystal system: tetragonal. The density of states at the Fermi level comes out at 3.0 states/eV/f.u. Its symmetry is No. 123. The value obtained for the relative energy among the computed polymorphs is 1143 meV/atom.



No. 11
This record from the Alexandria database describes crystalline NdMgGa2Au4 at its relaxed geometry. The functional is GGA-PBE.

Cell lengths 4.569, 4.569, 9.177 Å; angles 75.58, 75.58, 60.00 degrees
Fractional coordinates of all 8 atoms:
Au  0.866  0.866  0.402
Mg  0.500  0.500  0.500
Ga  0.754  0.754  0.737
Nd  0.000  0.000  0.000
Au  0.605  0.605  0.186
Au  0.395  0.395  0.814
Au  0.134  0.134  0.598
Ga  0.246  0.246  0.263

Values from the calculation:
As for the total energy: -3.719 eV per atom. As for the crystal system: trigonal. The density of states at the Fermi level comes out at 4.1 states/eV/f.u. Its symmetry is No. 166. Its energy relative to the elements is -0.53 eV/atom.



No. 12
This record from the Alexandria database describes crystalline SbMoPt4 at its relaxed geometry. The functional is GGA-PBE.

Cell lengths 5.331, 5.331, 5.331 Å; angles 60.00, 60.00, 60.00 degrees
Fractional coordinates of all 6 atoms:
Pt  0.374  0.374  0.374
Pt  0.374  0.374  0.877
Pt  0.374  0.877  0.374
Pt  0.877  0.374  0.374
Sb  0.750  0.750  0.750
Mo  0.000  0.000  0.000

Values from the calculation:
As for the total energy: -6.314 eV per atom. As for the crystal system: cubic. The density of states at the Fermi level comes out at 4.0 states/eV/f.u. Its symmetry is No. 216.



| no. | V (Å³/cell) |
| --- | --- |
| 1 | 66.6 |
| 2 | 173.7 |
| 3 | 177.9 |
| 4 | 238.2 |
| 5 | 70.0 |
| 6 | 161.5 |
| 7 | 932.8 |
| 8 | 543.6 |
| 9 | 395.9 |
| 10 | 108.6 |
| 11 | 158.9 |
| 12 | 107.1 |